Compound: Ca2DyMg
Source: the Alexandria database
Functional: GGA-PBE
Structure: relaxed

```
Ca2DyMg
1.0
5.7369 0.0000 0.0000
2.8684 4.9683 0.0000
2.8684 1.6561 4.6841
Ca Mg Dy
2 1 1
Direct
0.7500 0.7500 0.7500
0.2500 0.2500 0.2500
0.0000 0.0000 0.0000
0.5000 0.5000 0.5000
```

Properties
Symmetry = No. 225
Excess energy over the best structure of this formula in the dataset = 51.4 meV/atom
Total magnetization = 0.00 μB per formula unit
ΔH_f (0 K) = 0.13 eV/atom